No. 1
DFT (PBE-GGA) results for an optimized crystal structure of AgAs2Ru.

The calculation puts the total energy at -5.12 eV per atom. For the total magnetization, the calculation gives 0.0 μB per formula unit. Its symmetry is P4mm, No. 99. The energy above the most stable polymorph in this dataset is 0.2117 eV/atom. The calculation puts the formation energy at 0.2345 eV/atom. The calculation puts the density of states at the Fermi level at 3.047 states/eV/cell.

POSCAR file:
```
AgAs2Ru
1.0
-0.733 2.967 1.595
-1.195 -1.755 2.716
5.320 0.042 2.368
Ru As Ag
1 2 1
Direct
0.000 0.000 0.430
0.000 0.000 0.989
0.500 0.500 0.312
0.500 0.500 0.770
```

***

No. 2
DFT (PBE-GGA) results for an optimized crystal structure of AgAs2Ru.

The calculation puts the total energy at -5.33 eV per atom. For the total magnetization, the calculation gives 0.0 μB per formula unit. Its symmetry is P2/m, No. 10. The energy above the most stable polymorph in this dataset is 0.0000 eV/atom. The calculation puts the formation energy at 0.0227 eV/atom. The calculation puts the density of states at the Fermi level at 2.103 states/eV/cell.

POSCAR file:
```
AgAs2Ru
1.0
2.988 0.000 0.000
0.000 2.962 -0.449
0.000 1.171 7.965
Ru As Ag
1 2 1
Direct
0.500 0.250 0.250
0.000 0.747 0.055
0.000 0.753 0.445
0.500 0.750 0.750
```

***

No. 3
DFT (PBE-GGA) results for an optimized crystal structure of AgAs2Ru.

The calculation puts the total energy at -5.31 eV per atom. For the total magnetization, the calculation gives 0.0 μB per formula unit. Its symmetry is P4/mmm, No. 123. The energy above the most stable polymorph in this dataset is 0.0246 eV/atom. The calculation puts the formation energy at 0.0473 eV/atom. The calculation puts the density of states at the Fermi level at 3.039 states/eV/cell.

POSCAR file:
```
AgAs2Ru
1.0
-2.961 0.326 0.410
0.117 -1.882 2.342
1.306 5.941 4.709
Ru As Ag
1 2 1
Direct
0.500 0.500 0.250
0.000 0.000 0.045
0.000 0.000 0.455
0.500 0.500 0.750
```

***

No. 4
DFT (PBE-GGA) results for an optimized crystal structure of AgAsRu2.

The calculation puts the total energy at -6.18 eV per atom. For the total magnetization, the calculation gives 0.0 μB per formula unit. Its symmetry is Pm, No. 6. The calculation puts the formation energy at 0.3357 eV/atom. The calculation puts the density of states at the Fermi level at 4.219 states/eV/cell.

POSCAR file:
```
AgAsRu2
1.0
-2.182 2.376 -2.758
-2.054 -2.019 -0.114
-3.469 1.283 3.850
Ru As Ag
2 1 1
Direct
0.000 0.810 0.008
0.500 0.214 0.202
0.500 0.924 0.772
0.000 0.553 0.519
```

***

No. 5
DFT (PBE-GGA) results for an optimized crystal structure of AgAsRu2.

The calculation puts the total energy at -5.99 eV per atom. For the total magnetization, the calculation gives 0.0 μB per formula unit. Its symmetry is C2/m, No. 12. The calculation puts the formation energy at 0.5234 eV/atom. The calculation puts the density of states at the Fermi level at 4.871 states/eV/cell.

POSCAR file:
```
AgAsRu2
1.0
-4.840 -0.836 -0.377
3.140 -2.572 -3.321
0.223 -2.610 1.115
Ru As Ag
2 1 1
Direct
0.000 0.000 0.000
0.500 0.000 0.500
0.500 0.500 0.000
0.000 0.500 0.500
```

***

No. 6
DFT (PBE-GGA) results for an optimized crystal structure of AgAs2Ru.

The calculation puts the total energy at -5.29 eV per atom. For the total magnetization, the calculation gives 0.0 μB per formula unit. Its symmetry is Imm2, No. 44. The energy above the most stable polymorph in this dataset is 0.0393 eV/atom. The calculation puts the formation energy at 0.0620 eV/atom. The calculation puts the density of states at the Fermi level at 1.738 states/eV/cell.

POSCAR file:
```
AgAs2Ru
1.0
6.752 0.010 -0.001
4.978 4.563 0.001
-5.628 -2.895 2.354
Ru As Ag
1 2 1
Direct
0.529 0.529 0.000
0.971 0.971 0.000
0.689 0.189 0.500
0.310 0.810 0.500
```

***

No. 7
DFT (PBE-GGA) results for an optimized crystal structure of AgAs2Ru.

The calculation puts the total energy at -5.19 eV per atom. For the total magnetization, the calculation gives 0.0 μB per formula unit. Its symmetry is P4mm, No. 99. The energy above the most stable polymorph in this dataset is 0.1483 eV/atom. The calculation puts the formation energy at 0.1710 eV/atom. The calculation puts the density of states at the Fermi level at 2.936 states/eV/cell.

POSCAR file:
```
AgAs2Ru
1.0
2.983 0.000 0.000
0.000 2.983 0.000
0.000 0.000 8.114
Ru As Ag
1 2 1
Direct
0.000 0.000 0.477
0.000 0.000 0.975
0.500 0.500 0.316
0.500 0.500 0.732
```

***

No. 8
DFT (PBE-GGA) results for an optimized crystal structure of AgAsRu2.

The calculation puts the total energy at -5.95 eV per atom. For the total magnetization, the calculation gives 1.0 μB per formula unit. Its symmetry is Pmmm, No. 47. The calculation puts the formation energy at 0.5617 eV/atom. The calculation puts the density of states at the Fermi level at 4.904 states/eV/cell.

POSCAR file:
```
AgAsRu2
1.0
-1.468 0.917 -2.331
-1.077 -4.484 -1.086
-3.798 0.304 2.512
Ru As Ag
2 1 1
Direct
0.000 0.000 0.000
0.500 0.500 0.000
0.000 0.500 0.500
0.500 0.000 0.500
```

***

No. 9
DFT (PBE-GGA) results for an optimized crystal structure of AgAs2Ru.

The calculation puts the total energy at -4.78 eV per atom. For the total magnetization, the calculation gives 0.0 μB per formula unit. Its symmetry is F-43m, No. 216. The energy above the most stable polymorph in this dataset is 0.5506 eV/atom. The calculation puts the formation energy at 0.5733 eV/atom. The calculation puts the density of states at the Fermi level at 3.622 states/eV/cell.

POSCAR file:
```
AgAs2Ru
1.0
-0.816 0.703 -4.444
2.738 -1.866 -3.151
-1.526 -3.427 -2.615
Ru As Ag
1 2 1
Direct
0.750 0.750 0.750
0.000 0.000 0.000
0.250 0.250 0.250
0.500 0.500 0.500
```

***

No. 10
DFT (PBE-GGA) results for an optimized crystal structure of AgAs2Ru.

The calculation puts the total energy at -5.02 eV per atom. For the total magnetization, the calculation gives 0.0 μB per formula unit. Its symmetry is Cmm2, No. 35. The energy above the most stable polymorph in this dataset is 0.3147 eV/atom. The calculation puts the formation energy at 0.3375 eV/atom. The calculation puts the density of states at the Fermi level at 3.647 states/eV/cell.

POSCAR file:
```
AgAs2Ru
1.0
2.876 -0.027 0.000
-1.256 2.587 0.000
0.000 0.000 9.816
Ru As Ag
1 2 1
Direct
0.000 0.000 0.490
0.000 0.000 0.975
0.500 0.500 0.298
0.500 0.500 0.736
```

***

No. 11
DFT (PBE-GGA) results for an optimized crystal structure of AgAsRuSe2.

The calculation puts the total energy at -4.23 eV per atom. The value obtained for the energy relative to the elements, uncorrected is 0.5211 eV per atom. For the total magnetization, the calculation gives 0.0 μB per formula unit. Its symmetry is P4/mmm, No. 123. The energy above the most stable polymorph in this dataset is 0.0000 eV/atom. The calculation puts the density of states at the Fermi level at 7.279 states/eV/cell.

POSCAR file:
```
AgAsRuSe2
1.0
5.036 0.000 0.000
0.000 5.036 0.000
0.000 0.000 4.608
Ru As Se Ag
1 1 2 1
Direct
0.000 0.000 0.000
0.000 0.000 0.500
0.000 0.500 0.000
0.500 0.000 0.000
0.500 0.500 0.500
```

***

No. 12
DFT (PBE-GGA) results for an optimized crystal structure of VAgAsRu2.

The calculation puts the total energy at -6.07 eV per atom. For the total magnetization, the calculation gives 0.5 μB per formula unit. Its symmetry is P4/mmm, No. 123. The calculation puts the formation energy at 0.9619 eV/atom. The calculation puts the density of states at the Fermi level at 5.719 states/eV/cell.

POSCAR file:
```
VAgAsRu2
1.0
4.473 0.000 0.000
0.000 4.660 0.000
0.000 0.000 4.473
Ru As Ag V
2 1 1 1
Direct
0.000 0.000 0.500
0.500 0.000 0.000
0.000 0.500 0.000
0.500 0.500 0.500
0.000 0.000 0.000
```

***

No. 13
DFT (PBE-GGA) results for an optimized crystal structure of Ag2AsRuW.

The calculation puts the total energy at -4.78 eV per atom. For the total magnetization, the calculation gives 3.1 μB per formula unit. Its symmetry is P4/mmm, No. 123. The calculation puts the formation energy at 1.7337 eV/atom. The calculation puts the density of states at the Fermi level at 4.722 states/eV/cell.

POSCAR file:
```
Ag2AsRuW
1.0
-2.365 1.658 4.199
-4.020 0.405 -2.424
-1.214 -4.799 1.211
Ru As Ag W
1 1 2 1
Direct
0.500 0.500 0.500
0.000 0.500 0.000
0.000 0.000 0.500
0.500 0.000 0.000
0.000 0.000 0.000
```

***

No. 14
DFT (PBE-GGA) results for an optimized crystal structure of ZrAgAsRu2.

The calculation puts the total energy at -6.41 eV per atom. For the total magnetization, the calculation gives 0.0 μB per formula unit. Its symmetry is P4/mmm, No. 123. The calculation puts the formation energy at 0.5055 eV/atom. The calculation puts the density of states at the Fermi level at 5.001 states/eV/cell.

POSCAR file:
```
ZrAgAsRu2
1.0
-2.940 -3.413 0.573
3.026 -2.956 -2.077
1.864 -0.928 4.035
Ru As Zr Ag
2 1 1 1
Direct
0.000 0.000 0.500
0.500 0.000 0.000
0.000 0.000 0.000
0.500 0.500 0.500
0.000 0.500 0.000
```

***

No. 15
DFT (PBE-GGA) results for an optimized crystal structure of Ag5As2S5.

The calculation puts the total energy at -3.56 eV per atom. The value obtained for the energy relative to the elements, uncorrected is 0.1221 eV per atom. For the total magnetization, the calculation gives 0.0 μB per formula unit. Its symmetry is C2/m, No. 12. The calculation puts the density of states at the Fermi level at 2.321 states/eV/cell.

POSCAR file:
```
Ag5As2S5
1.0
-3.234 -0.921 -1.259
3.960 -1.830 -3.715
-0.689 -9.246 8.536
Ag As S
5 2 5
Direct
0.500 0.000 0.500
0.681 0.361 0.067
0.735 0.470 0.315
0.265 0.530 0.685
0.319 0.639 0.933
0.981 0.961 0.778
0.019 0.039 0.222
0.112 0.224 0.414
0.649 0.297 0.790
0.351 0.703 0.210
0.888 0.776 0.586
0.000 0.000 0.000
```